Entry 1:
Gd3Zr3FeTe2 (GGA-PBE, relaxed); space-group type = P-62m; magnetization = 1.2 μB per cell; total energy = -6.64 eV/atom; volume = 24.3 Å³ per atom
1.0
8.094 0.000 0.000
-4.047 7.010 0.000
0.000 0.000 3.857
Gd Zr Fe Te
3 3 1 2
direct
0.000 0.601 0.000
0.399 0.399 0.000
0.601 0.000 0.000
0.000 0.227 0.500
0.227 0.000 0.500
0.773 0.773 0.500
0.000 0.000 0.000
0.333 0.667 0.500
0.667 0.333 0.500


Entry 2:
NbSiTe (GGA-PBE, relaxed); space-group type = F-43m; magnetization = 0.1 μB per cell; total energy = -5.66 eV/atom; volume = 21.6 Å³ per atom
1.0
0.000 3.189 3.189
3.189 0.000 3.189
3.189 3.189 0.000
Nb Si Te
1 1 1
direct
0.000 0.000 0.000
0.250 0.250 0.250
0.500 0.500 0.500


Entry 3:
ErSi2IrOs (GGA-PBE, relaxed); space-group type = I-4m2; magnetization = 0.0 μB per cell; total energy = -8.02 eV/atom; volume = 16.6 Å³ per atom
1.0
-2.066 2.066 4.851
2.066 -2.066 4.851
2.066 2.066 -4.851
Er Si Ir Os
1 2 1 1
direct
0.000 0.000 0.000
0.375 0.375 0.000
0.625 0.625 0.000
0.750 0.250 0.500
0.250 0.750 0.500


Entry 4:
ErZrAl2Cu4 (GGA-PBE, relaxed); space-group type = P-6m2; magnetization = 0.0 μB per cell; total energy = -4.81 eV/atom; volume = 16.3 Å³ per atom
1.0
4.277 0.000 0.000
-2.139 3.704 0.000
0.000 0.000 8.222
Er Zr Al Cu
1 1 2 4
direct
0.000 0.000 0.000
0.333 0.667 0.500
0.667 0.333 0.281
0.667 0.333 0.719
0.000 0.000 0.341
0.000 0.000 0.659
0.333 0.667 0.171
0.333 0.667 0.829


Entry 5:
TbB (GGA-PBE, relaxed); space-group type = Fm-3m; energy above the most stable polymorph in this dataset = 0.000 eV per atom; magnetization = 0.4 μB per cell; volume = 19.5 Å³ per atom
1.0
0.000 2.690 2.690
2.690 0.000 2.690
2.690 2.690 0.000
Tb B
1 1
direct
0.000 0.000 0.000
0.500 0.500 0.500


Entry 6:
Nb2ReMo (GGA-PBE, relaxed); energy relative to the elements = -0.16 eV per atom; space-group type = F-43m; magnetization = 0.0 μB per cell; volume = 16.5 Å³ per atom
1.0
0.000 3.210 3.210
3.210 0.000 3.210
3.210 3.210 0.000
Nb Re Mo
2 1 1
direct
0.000 0.000 0.000
0.250 0.250 0.250
0.500 0.500 0.500
0.750 0.750 0.750


Entry 7:
GeAu9 (GGA-PBE, relaxed); space-group type = P4/nmm; total energy = -3.37 eV/atom; volume = 23.9 Å³ per atom
1.0
2.945 0.000 0.000
0.000 2.945 0.000
0.000 0.000 55.158
Ge Au
2 18
direct
0.250 0.250 0.144
0.750 0.750 0.856
0.250 0.250 0.217
0.250 0.250 0.294
0.250 0.250 0.369
0.250 0.250 0.444
0.250 0.250 0.519
0.250 0.250 0.593
0.250 0.250 0.669
0.250 0.250 0.745
0.250 0.250 0.821
0.750 0.750 0.179
0.750 0.750 0.255
0.750 0.750 0.331
0.750 0.750 0.407
0.750 0.750 0.481
0.750 0.750 0.556
0.750 0.750 0.631
0.750 0.750 0.706
0.750 0.750 0.783


Entry 8:
LuCd2Sb (GGA-PBE, relaxed); space-group type = F-43m; magnetization = 0.0 μB per cell; total energy = -2.78 eV/atom; volume = 24.8 Å³ per atom
1.0
0.000 3.672 3.672
3.672 0.000 3.672
3.672 3.672 0.000
Lu Cd Sb
1 2 1
direct
0.000 0.000 0.000
0.250 0.250 0.250
0.500 0.500 0.500
0.750 0.750 0.750